## Tl3Os (GGA-PBE)

Data for a relaxed Tl3Os crystal. Values from VASP.

**Calculated total energy**: -3.59 eV/atom

Geometry as Quantum ESPRESSO input:
```
&SYSTEM
  ibrav = 0, nat = 4, ntyp = 2
/
ATOMIC_SPECIES
Tl 204.38 Tl.upf
Os 190.23 Os.upf
ATOMIC_POSITIONS crystal
Tl 0.000 0.000 0.000
Tl 0.000 0.500 0.500
Tl 0.500 0.000 0.500
Os 0.500 0.500 0.000
CELL_PARAMETERS angstrom
3.548 -4.189 0.000
3.548 4.189 0.000
0.000 0.000 3.148
```